This record from Alexandria via LeMat-Bulk describes Na5MnS4 after structural relaxation. The functional is PBE.

Summary:
E_form (uncorrected)   -0.940 eV per atom
Total magnetization   4.00 μB/f.u.
V   492.4 Å³/cell
Raw total energy   -4.17 eV/atom

```
data_Na5MnS4
_chemical_formula_sum 'Na10 Mn2 S8'
_symmetry_space_group_name_H-M 'P m m n'
_symmetry_Int_Tables_number 59
_cell_length_a 8.808
_cell_length_b 8.971
_cell_length_c 6.231
_cell_angle_alpha 90.00
_cell_angle_beta 90.00
_cell_angle_gamma 90.00
loop_
_symmetry_equiv_pos_as_xyz
'x,y,z'
'-x,-y,-z'
'-x+1/2,-y+1/2,z'
'x+1/2,y+1/2,-z'
'x+1/2,-y,-z'
'-x+1/2,y,z'
'-x,y+1/2,-z'
'x,-y+1/2,z'
loop_
_atom_site_label
_atom_site_fract_x
_atom_site_fract_y
_atom_site_fract_z
_atom_site_occupancy
Na1 0.018 0.052 0.244 1
Na2 0.250 0.750 0.340 1
Mn1 0.250 0.250 0.726 1
S1 0.016 0.250 0.895 1
S2 0.250 0.023 0.550 1
```